Record 1
The following is a DFT calculation (PBE) of crystalline PmPr12Ho6 at its relaxed geometry.

Results
- symmetry = Im-3 (204)
- E above lowest polymorph (meV/atom) = 199
- crystal system = cubic
- E_form (meV per atom) = 216
- D(E_F) (states/eV per cell) = 27.943

a b c (Å): 9.521 9.521 9.521
angles (deg): 109.47 109.47 109.47
Fractional positions:
Pm: 0.000 0.000 0.000
Pr: 0.067 0.803 0.264
Pr: 0.197 0.264 0.462
Pr: 0.197 0.736 0.933
Pr: 0.264 0.067 0.803
Pr: 0.264 0.462 0.197
Pr: 0.462 0.197 0.264
Pr: 0.538 0.803 0.736
Pr: 0.736 0.538 0.803
Pr: 0.736 0.933 0.197
Pr: 0.803 0.264 0.067
Pr: 0.803 0.736 0.538
Pr: 0.933 0.197 0.736
Ho: 0.142 0.642 0.500
Ho: 0.358 0.500 0.858
Ho: 0.500 0.142 0.642
Ho: 0.500 0.858 0.358
Ho: 0.642 0.500 0.142
Ho: 0.858 0.358 0.500

***

Record 2
The following is a DFT calculation (PBE) of crystalline Tm2HfSc at its relaxed geometry.

Results
- symmetry = P4/mmm (123)
- E above lowest polymorph (meV/atom) = 34
- crystal system = tetragonal
- E_form (meV per atom) = 117
- D(E_F) (states/eV per cell) = 5.911

a b c (Å): 4.720 4.720 4.673
angles (deg): 90.00 90.00 90.00
Fractional positions:
Tm: 0.000 0.500 0.000
Tm: 0.500 0.000 0.000
Hf: 0.000 0.000 0.500
Sc: 0.500 0.500 0.500

***

Record 3
The following is a DFT calculation (PBE) of crystalline SrMnPb2 at its relaxed geometry.

Results
- symmetry = F-43m (216)
- crystal system = cubic
- E_form (meV per atom) = 203
- D(E_F) (states/eV per cell) = 2.963

a b c (Å): 5.542 5.542 5.542
angles (deg): 60.00 60.00 60.00
Fractional positions:
Sr: 0.000 0.000 0.000
Mn: 0.750 0.750 0.750
Pb: 0.250 0.250 0.250
Pb: 0.500 0.500 0.500

***

Record 4
The following is a DFT calculation (PBE) of crystalline PrTmPbO2 at its relaxed geometry.

Results
- symmetry = I4mm (107)
- crystal system = tetragonal
- D(E_F) (states/eV per cell) = 2.136
- formation energy without anion corrections (eV/atom) = -2.483

a b c (Å): 7.707 7.707 7.707
angles (deg): 150.69 150.69 41.93
Fractional positions:
Pr: 0.000 0.000 0.000
Tm: 0.339 0.339 0.000
Pb: 0.671 0.671 0.000
O: 0.410 0.910 0.500
O: 0.910 0.410 0.500

***

Record 5
The following is a DFT calculation (PBE) of crystalline Ac3Pr2Ho at its relaxed geometry.

Results
- symmetry = C2/c (15)
- crystal system = monoclinic
- E_form (meV per atom) = 113
- D(E_F) (states/eV per cell) = 16.785

a b c (Å): 7.191 7.191 9.473
angles (deg): 97.59 97.59 96.31
Fractional positions:
Ac: 0.057 0.943 0.750
Ac: 0.203 0.367 0.021
Ac: 0.367 0.203 0.521
Ac: 0.633 0.797 0.479
Ac: 0.797 0.633 0.979
Ac: 0.943 0.057 0.250
Pr: 0.116 0.615 0.382
Pr: 0.385 0.884 0.118
Pr: 0.615 0.116 0.882
Pr: 0.884 0.385 0.618
Ho: 0.380 0.620 0.750
Ho: 0.620 0.380 0.250

***

Record 6
The following is a DFT calculation (PBE) of crystalline SrDyHo at its relaxed geometry.

Results
- symmetry = C2/m (12)
- E above lowest polymorph (meV/atom) = 49
- crystal system = monoclinic
- E_form (meV per atom) = 189
- D(E_F) (states/eV per cell) = 11.074

a b c (Å): 6.360 6.360 7.728
angles (deg): 106.17 106.17 47.88
Fractional positions:
Sr: 0.166 0.166 0.090
Sr: 0.834 0.834 0.910
Dy: 0.157 0.157 0.567
Dy: 0.843 0.843 0.433
Ho: 0.491 0.491 0.715
Ho: 0.509 0.509 0.285

***

Record 7
The following is a DFT calculation (PBE) of crystalline LiHoCdGa at its relaxed geometry.

Results
- symmetry = F-43m (216)
- crystal system = cubic
- E_form (meV per atom) = -362
- D(E_F) (states/eV per cell) = 2.385

a b c (Å): 4.913 4.913 4.913
angles (deg): 60.00 60.00 60.00
Fractional positions:
Li: 0.000 0.000 0.000
Ho: 0.500 0.500 0.500
Cd: 0.750 0.750 0.750
Ga: 0.250 0.250 0.250

***

Record 8
The following is a DFT calculation (PBE) of crystalline SrMgB2 at its relaxed geometry.

Results
- symmetry = I4_1/amd (141)
- crystal system = tetragonal
- E_form (meV per atom) = 817
- D(E_F) (states/eV per cell) = 2.496

a b c (Å): 8.458 8.458 8.458
angles (deg): 149.97 149.97 42.98
Fractional positions:
Sr: 0.375 0.625 0.750
Sr: 0.625 0.375 0.250
Mg: 0.125 0.875 0.250
Mg: 0.875 0.125 0.750
B: 0.000 0.000 0.000
B: 0.000 0.000 0.500
B: 0.000 0.500 0.000
B: 0.500 0.000 0.500

***

Record 9
The following is a DFT calculation (PBE) of crystalline Np2CuGe3Pt4 at its relaxed geometry.

Results
- symmetry = P-4m2 (115)
- crystal system = tetragonal
- E_form (meV per atom) = -485
- D(E_F) (states/eV per cell) = 20.934

a b c (Å): 4.091 4.091 11.085
angles (deg): 90.00 90.00 90.00
Fractional positions:
Np: 0.000 0.500 0.242
Np: 0.500 0.000 0.758
Cu: 0.500 0.500 0.000
Ge: 0.000 0.000 0.000
Ge: 0.000 0.500 0.636
Ge: 0.500 0.000 0.364
Pt: 0.000 0.000 0.500
Pt: 0.000 0.500 0.856
Pt: 0.500 0.000 0.144
Pt: 0.500 0.500 0.500

***

- Which formula does entry 4 have?
  PrTmPbO2

***

- D(E_F) of number 6 (SrDyHo)?
  11.074 states/eV per cell

***

- Among the records above, which one has the highest D(E_F)?
  PmPr12Ho6